10
Lattice="5.1924 0.0000 0.0000 0.0000 5.1924 0.0000 0.0000 0.0000 5.0599" Properties=species:S:1:pos:R:3 comment="CaPa2PN6 (PBE, optimized geometry)" m_tot_mub_per_cell=0.00 dos_at_fermi_per_ev_cell=4.8 e_form_raw_ev_per_atom=-0.7427 crystal_system=tetragonal pbc="T T T"
Ca 0.0000 0.0000 0.0000
Pa 0.0000 2.5962 2.2975
Pa 2.5962 0.0000 2.2975
P 2.5962 2.5962 0.2903
N 0.0000 0.0000 2.7817
N 1.4493 1.4493 0.9577
N 1.4493 3.7431 0.9577
N 2.5962 2.5962 3.6581
N 3.7431 1.4493 0.9577
N 3.7431 3.7431 0.9577